Compound: Na8Tl2Pb3
Source: Alexandria
Functional: PBE-GGA
Structure: relaxed

Calculated values
Its density of states at the Fermi level is 5.88 states/eV/f.u. The energy above the most stable polymorph in this dataset comes out at 0 meV per atom. As for the formation energy: -0.077 eV per atom.

Cell lengths 8.4635, 8.4635, 5.9095 Å; angles 107.09, 107.09, 83.76 degrees
Sites, in units of the cell vectors:
1 Na 0.0702 0.0702 0.2872
2 Na 0.0952 0.5796 0.8426
3 Na 0.3571 0.3571 0.4186
4 Na 0.4204 0.9048 0.1574
5 Na 0.5796 0.0952 0.8426
6 Na 0.6429 0.6429 0.5814
7 Na 0.9048 0.4204 0.1574
8 Na 0.9298 0.9298 0.7128
9 Tl 0.1996 0.1996 0.8545
10 Tl 0.8004 0.8004 0.1455
11 Pb 0.2478 0.7522 0.5000
12 Pb 0.5000 0.5000 0.0000
13 Pb 0.7522 0.2478 0.5000